P) # SmGdMn2

A relaxed SmGdMn2 crystal (PBE, Alexandria via LeMat-Bulk).

Cell: 7.160 7.160 7.160 Å, 90.00 90.00 90.00°
Space group Fm-3m (No. 225)
One atom of each set of equivalent atoms:
Sm 0.000 0.000 0.000 [4 per cell]
Gd 0.000 0.000 0.500 [4 per cell]
Mn 0.250 0.250 0.250 [8 per cell]



Q) # SmGdMn2

A relaxed SmGdMn2 crystal (PBE, Alexandria via LeMat-Bulk).

Cell: 5.038 5.038 3.598 Å, 90.00 90.00 90.00°
Space group P4/mmm (No. 123)
One atom of each set of equivalent atoms:
Sm 0.000 0.000 0.000 [1 per cell]
Gd 0.500 0.500 0.000 [1 per cell]
Mn 0.000 0.500 0.500 [2 per cell]



Least stable = P)



P) # Gd2MnTc

A relaxed Gd2MnTc crystal (PBE, Alexandria via LeMat-Bulk).

Cell: 3.527 3.527 7.006 Å, 90.00 90.00 90.00°
Space group P4/mmm (No. 123)
One atom of each set of equivalent atoms:
Gd 0.000 0.000 0.233 [2 per cell]
Mn 0.500 0.500 0.500 [1 per cell]
Tc 0.500 0.500 0.000 [1 per cell]



Q) # Gd2MnTc

A relaxed Gd2MnTc crystal (PBE, Alexandria via LeMat-Bulk).

Cell: 7.020 7.020 7.020 Å, 90.00 90.00 90.00°
Space group Fm-3m (No. 225)
One atom of each set of equivalent atoms:
Gd 0.250 0.250 0.250 [8 per cell]
Mn 0.000 0.000 0.000 [4 per cell]
Tc 0.000 0.000 0.500 [4 per cell]



Least stable = Q)



P) # GdThMn2

A relaxed GdThMn2 crystal (PBE, Alexandria via LeMat-Bulk).

Cell: 5.029 5.029 3.607 Å, 90.00 90.00 90.00°
Space group P4/mmm (No. 123)
One atom of each set of equivalent atoms:
Gd 0.000 0.000 0.000 [1 per cell]
Th 0.500 0.500 0.000 [1 per cell]
Mn 0.000 0.500 0.500 [2 per cell]



Q) # GdThMn2

A relaxed GdThMn2 crystal (PBE, Alexandria via LeMat-Bulk).

Cell: 3.621 3.621 6.915 Å, 90.00 90.00 90.00°
Space group P4/mmm (No. 123)
One atom of each set of equivalent atoms:
Gd 0.000 0.000 0.000 [1 per cell]
Th 0.000 0.000 0.500 [1 per cell]
Mn 0.500 0.500 0.291 [2 per cell]



Least stable = P)



P) # Gd2MnTl

A relaxed Gd2MnTl crystal (PBE, Alexandria via LeMat-Bulk).

Cell: 4.831 4.831 4.341 Å, 90.00 90.00 90.00°
Space group P4/mmm (No. 123)
One atom of each set of equivalent atoms:
Gd 0.000 0.500 0.000 [2 per cell]
Mn 0.000 0.000 0.500 [1 per cell]
Tl 0.500 0.500 0.500 [1 per cell]



Q) # Gd2MnTl

A relaxed Gd2MnTl crystal (PBE, Alexandria via LeMat-Bulk).

Cell: 3.670 3.670 7.604 Å, 90.00 90.00 90.00°
Space group P4/mmm (No. 123)
One atom of each set of equivalent atoms:
Gd 0.000 0.000 0.230 [2 per cell]
Mn 0.500 0.500 0.000 [1 per cell]
Tl 0.500 0.500 0.500 [1 per cell]



R) # Gd2MnTl

A relaxed Gd2MnTl crystal (PBE, Alexandria via LeMat-Bulk).

Cell: 7.452 7.452 7.452 Å, 90.00 90.00 90.00°
Space group Fm-3m (No. 225)
One atom of each set of equivalent atoms:
Gd 0.250 0.250 0.250 [8 per cell]
Mn 0.000 0.000 0.000 [4 per cell]
Tl 0.000 0.000 0.500 [4 per cell]



Least stable = R)